(1)
Sr2La6TiCu3O16 | SCAN | PBEsol geometry

The structure in extended XYZ format:
```
28
Lattice="2.675 -6.482 0.000 2.675 6.482 0.000 0.000 0.000 10.706" Properties=species:S:1:pos:R:3 pbc="T T T"
Sr 2.675 4.617 0.000
Sr 2.675 -4.617 0.000
La 2.675 4.686 5.353
La 2.675 1.808 2.749
La 2.675 1.808 7.957
La 2.675 -1.808 2.749
La 2.675 -1.808 7.957
La 2.675 -4.686 5.353
Ti 2.675 0.000 0.000
Cu 0.000 0.000 2.665
Cu 0.000 0.000 8.042
Cu 2.675 0.000 5.353
O 2.675 4.078 2.797
O 2.675 4.078 7.910
O 1.329 0.000 4.017
O 1.329 0.000 6.689
O 1.358 0.000 1.359
O 1.358 0.000 9.347
O 2.675 2.359 5.353
O 2.675 2.061 0.000
O 2.675 -2.061 0.000
O 2.675 -2.359 5.353
O 3.992 0.000 1.359
O 3.992 0.000 9.347
O 4.021 0.000 4.017
O 4.021 0.000 6.689
O 2.675 -4.078 2.797
O 2.675 -4.078 7.910
```

Computed properties:
**Formation energy from raw total energies**: -3013 meV per atom
**Volume**: 13.3 A^3/atom
**Theoretical density**: 6.7 Mg/m³
**Space group**: No. 65
**M_tot**: 0.98 μB/f.u.
**Electronic total energy**: -19.60 eV per atom

***

(2)
ZrMoCl | SCAN | PBEsol geometry

The structure in extended XYZ format:
```
3
Lattice="0.000 3.038 3.038 3.038 0.000 3.038 3.038 3.038 0.000" Properties=species:S:1:pos:R:3 pbc="T T T"
Zr 0.000 0.000 0.000
Mo 1.519 1.519 1.519
Cl 3.038 3.038 3.038
```

Computed properties:
**Formation energy from raw total energies**: 940 meV per atom
**Volume**: 18.7 A^3/atom
**Theoretical density**: 6.6 Mg/m³
**DOS at the Fermi energy**: 1.130 states/eV per atom
**Space group**: No. 216
**M_tot**: 1.02 μB/f.u.
**Offset from the most stable computed form**: 0.771 eV per atom
**Electronic total energy**: -23.58 eV per atom

***

(3)
MoAuSe2 | SCAN | PBEsol geometry

The structure in extended XYZ format:
```
4
Lattice="1.632 0.942 8.508 -1.632 0.942 8.508 0.000 -1.885 8.508" Properties=species:S:1:pos:R:3 pbc="T T T"
Mo 0.000 0.000 0.000
Au 0.000 0.000 12.763
Se 0.000 0.000 2.357
Se 0.000 0.000 23.168
```

Computed properties:
**Formation energy from raw total energies**: 744 meV per atom
**Volume**: 19.6 A^3/atom
**Theoretical density**: 9.5 Mg/m³
**DOS at the Fermi energy**: 0.956 states/eV per atom
**Space group**: No. 166
**M_tot**: 0.00 μB/f.u.
**Offset from the most stable computed form**: 0.666 eV per atom
**Electronic total energy**: -35.31 eV per atom